Crystalline ZnCrAs2 at its relaxed geometry. Source: Alexandria via LeMat-Bulk, functional GGA-PBE.

Values from the calculation:
Calculated formation energy, eV/atom: 0.08
Calculated density, g/cm³: 6.67

Unit cell a=5.202 b=5.202 c=3.888 alpha=85.96 beta=85.96 gamma=39.34
Each line ends with the local moment (μB).
Sites, in units of the cell vectors:
As  0.982  0.982  0.908  -0.10
As  0.256  0.256  0.352  -0.10
Cr  0.535  0.535  0.390  2.79
Zn  0.727  0.727  0.850  -0.01